Below is a relaxed structure of Er3TlPt2, with properties calculated at the GGA-PBE level.

POSCAR file:
```
Er3TlPt2
1.0
3.515 0.000 0.000
0.000 3.515 0.000
0.000 0.000 11.069
Er Tl Pt
3 1 2
Direct
0.000 0.000 0.000 Er
0.000 0.000 0.305 Er
0.000 0.000 0.695 Er
0.500 0.500 0.500 Tl
0.500 0.500 0.160 Pt
0.500 0.500 0.840 Pt
```

Calculated values
Formation enthalpy at 0 K (kJ/mol of formula units): -559